Be2CoRu: optimized geometry, PBEsol.

Values from the calculation:
As for the formation energy: -14.5 kJ/mol of atoms.

Geometry as CIF:
```
data_Be2CoRu
_chemical_formula_sum 'Be4 Co2 Ru2'
_cell_length_a 3.550
_cell_length_b 2.647
_cell_length_c 8.213
_cell_angle_alpha 90.00
_cell_angle_beta 90.00
_cell_angle_gamma 90.00
_symmetry_space_group_name_H-M 'A m m 2'
_symmetry_Int_Tables_number 38
loop_
_symmetry_equiv_pos_as_xyz
'x,y,z'
'-x,-y,z'
'-x,y,z'
'x,-y,z'
'x,y+1/2,z+1/2'
'-x,-y+1/2,z+1/2'
'-x,y+1/2,z+1/2'
'x,-y+1/2,z+1/2'
loop_
_atom_site_label
_atom_site_type_symbol
_atom_site_fract_x
_atom_site_fract_y
_atom_site_fract_z
_atom_site_occupancy
Be1 Be 0.000 0.000 0.000 1
Be2 Be 0.500 0.000 0.150 1
Co1 Co 0.500 0.000 0.426 1
Ru1 Ru 0.000 0.000 0.731 1
```